[1]
Entry from the Alexandria database: an optimized crystal structure of RhSeS2 (GGA-PBE).

Structure (CIF):
```
data_RhSeS2
_cell_length_a 5.944
_cell_length_b 5.944
_cell_length_c 5.944
_cell_angle_alpha 115.24
_cell_angle_beta 115.24
_cell_angle_gamma 98.47
_symmetry_space_group_name_H-M 'P 1'
_symmetry_Int_Tables_number 1
loop_
_symmetry_equiv_pos_as_xyz
'x,y,z'
loop_
_atom_site_label
_atom_site_type_symbol
_atom_site_fract_x
_atom_site_fract_y
_atom_site_fract_z
Rh1 Rh 0.000 0.000 0.000
Rh2 Rh 0.750 0.250 0.500
Se1 Se 0.250 0.750 0.500
Se2 Se 0.500 0.500 0.000
S1 S 0.079 0.625 0.954
S2 S 0.375 0.329 0.454
S3 S 0.671 0.125 0.046
S4 S 0.875 0.921 0.546
```

Properties
E_form (uncorrected) in eV per atom: 0.137

[2]
Entry from the Alexandria database: an optimized crystal structure of RhSe2S (GGA-PBE).

Structure (CIF):
```
data_RhSe2S
_cell_length_a 3.694
_cell_length_b 5.962
_cell_length_c 9.742
_cell_angle_alpha 102.84
_cell_angle_beta 92.18
_cell_angle_gamma 96.82
_symmetry_space_group_name_H-M 'P 1'
_symmetry_Int_Tables_number 1
loop_
_symmetry_equiv_pos_as_xyz
'x,y,z'
loop_
_atom_site_label
_atom_site_type_symbol
_atom_site_fract_x
_atom_site_fract_y
_atom_site_fract_z
Rh1 Rh 0.000 0.000 0.000
Rh2 Rh 0.393 0.441 0.007
Se1 Se 0.487 0.862 0.141
Se2 Se 0.488 0.073 0.847
Se3 Se 0.904 0.368 0.161
Se4 Se 0.906 0.579 0.866
S1 S 0.427 0.311 0.492
S2 S 0.963 0.131 0.514
```

Properties
E_form (uncorrected) in eV per atom: -0.189

[3]
Entry from the Alexandria database: an optimized crystal structure of Rh3SeS (GGA-PBE).

Structure (CIF):
```
data_Rh3SeS
_cell_length_a 4.416
_cell_length_b 4.416
_cell_length_c 4.416
_cell_angle_alpha 90.00
_cell_angle_beta 90.00
_cell_angle_gamma 90.00
_symmetry_space_group_name_H-M 'P 1'
_symmetry_Int_Tables_number 1
loop_
_symmetry_equiv_pos_as_xyz
'x,y,z'
loop_
_atom_site_label
_atom_site_type_symbol
_atom_site_fract_x
_atom_site_fract_y
_atom_site_fract_z
Rh1 Rh 0.000 0.000 0.500
Rh2 Rh 0.000 0.500 0.000
Rh3 Rh 0.500 0.000 0.000
Se1 Se 0.500 0.500 0.500
S1 S 0.000 0.000 0.000
```

Properties
Polymorph energy (0 for the lowest one) in meV/atom: 0
E_form (uncorrected) in eV per atom: 0.294

[4]
Entry from the Alexandria database: an optimized crystal structure of RhSe2S (GGA-PBE).

Structure (CIF):
```
data_RhSe2S
_cell_length_a 6.143
_cell_length_b 6.143
_cell_length_c 6.143
_cell_angle_alpha 115.78
_cell_angle_beta 115.78
_cell_angle_gamma 97.48
_symmetry_space_group_name_H-M 'P 1'
_symmetry_Int_Tables_number 1
loop_
_symmetry_equiv_pos_as_xyz
'x,y,z'
loop_
_atom_site_label
_atom_site_type_symbol
_atom_site_fract_x
_atom_site_fract_y
_atom_site_fract_z
Rh1 Rh 0.000 0.000 0.000
Rh2 Rh 0.750 0.250 0.500
Se1 Se 0.093 0.125 0.468
Se2 Se 0.375 0.907 0.032
Se3 Se 0.657 0.625 0.532
Se4 Se 0.875 0.343 0.968
S1 S 0.250 0.750 0.500
S2 S 0.500 0.500 0.000
```

Properties
E_form (uncorrected) in eV per atom: 0.181

Question: What is the formula in the third record?
Answer: Rh3SeS